This record from the Alexandria database describes an optimized crystal structure of LiSiBr2. The functional is PBE.

Cell lengths 5.155, 5.155, 5.155 Å; angles 60.00, 60.00, 60.00 degrees
Fractional coordinates of all 4 atoms:
Si  0.750  0.750  0.750
Br  0.000  0.000  0.000
Br  0.250  0.250  0.250
Li  0.500  0.500  0.500

Values from the calculation:
Energy above the lowest structure with this stoichiometry in kJ/mol of formula units: 268
Formation energy from raw total energies in eV/atom: 0.2380
Uncorrected energy in eV per cell: -9.73
Crystal system: cubic